Entry 1:
# Br | Alexandria via LeMat-Bulk | GGA-PBE | relaxed
data_Br
_space_group_name_H-M_alt 'P 1'
_space_group_IT_number 1
_cell_length_a 3.099
_cell_length_b 3.099
_cell_length_c 3.099
_cell_angle_alpha 90.00
_cell_angle_beta 90.00
_cell_angle_gamma 90.00
loop_
_space_group_symop_operation_xyz
'x,y,z'
loop_
_atom_site_label
_atom_site_fract_x
_atom_site_fract_y
_atom_site_fract_z
_atom_site_occupancy
Br1 0.000 0.000 0.000 1
# Uncorrected formation energy = 0.4837 eV/atom
# Energy above the lowest structure with this stoichiometry = 483.7 meV per atom
# Magnetic moment = 0.000 μB/f.u.
# E = -1.189 eV/atom
# D(E_F) = 1.67 states/eV/cell
# Space group = No. 221

---

Entry 2:
# Br | Alexandria via LeMat-Bulk | GGA-PBE | relaxed
data_Br
_space_group_name_H-M_alt 'P 1'
_space_group_IT_number 1
_cell_length_a 9.159
_cell_length_b 9.159
_cell_length_c 9.159
_cell_angle_alpha 93.60
_cell_angle_beta 93.60
_cell_angle_gamma 150.99
loop_
_space_group_symop_operation_xyz
'x,y,z'
loop_
_atom_site_label
_atom_site_fract_x
_atom_site_fract_y
_atom_site_fract_z
_atom_site_occupancy
Br1 0.055 0.284 0.338 1
Br2 0.118 0.823 0.941 1
Br3 0.177 0.118 0.295 1
Br4 0.284 0.945 0.229 1
Br5 0.716 0.055 0.771 1
Br6 0.823 0.882 0.705 1
Br7 0.882 0.177 0.059 1
Br8 0.945 0.716 0.662 1
# Uncorrected formation energy = 0.0214 eV/atom
# Energy above the lowest structure with this stoichiometry = 21.4 meV per atom
# Magnetic moment = 0.000 μB/f.u.
# E = -1.651 eV/atom
# Space group = No. 87

---

Entry 3:
# Br | Alexandria via LeMat-Bulk | GGA-PBE | relaxed
data_Br
_space_group_name_H-M_alt 'P 1'
_space_group_IT_number 1
_cell_length_a 5.117
_cell_length_b 8.190
_cell_length_c 8.407
_cell_angle_alpha 90.00
_cell_angle_beta 90.00
_cell_angle_gamma 90.00
loop_
_space_group_symop_operation_xyz
'x,y,z'
loop_
_atom_site_label
_atom_site_fract_x
_atom_site_fract_y
_atom_site_fract_z
_atom_site_occupancy
Br1 0.001 0.124 0.250 1
Br2 0.001 0.376 0.750 1
Br3 0.301 0.626 0.750 1
Br4 0.301 0.874 0.250 1
Br5 0.699 0.126 0.750 1
Br6 0.699 0.374 0.250 1
Br7 0.999 0.624 0.250 1
Br8 0.999 0.876 0.750 1
# Uncorrected formation energy = 0.0054 eV/atom
# Energy above the lowest structure with this stoichiometry = 5.4 meV per atom
# Magnetic moment = 0.000 μB/f.u.
# E = -1.668 eV/atom
# D(E_F) = 0.00 states/eV/cell
# Space group = No. 57

---

Entry 4:
# Br | Alexandria via LeMat-Bulk | GGA-PBE | relaxed
data_Br
_space_group_name_H-M_alt 'P 1'
_space_group_IT_number 1
_cell_length_a 4.470
_cell_length_b 4.470
_cell_length_c 4.470
_cell_angle_alpha 100.87
_cell_angle_beta 100.87
_cell_angle_gamma 128.53
loop_
_space_group_symop_operation_xyz
'x,y,z'
loop_
_atom_site_label
_atom_site_fract_x
_atom_site_fract_y
_atom_site_fract_z
_atom_site_occupancy
Br1 0.375 0.625 0.750 1
Br2 0.625 0.375 0.250 1
# Uncorrected formation energy = 0.5314 eV/atom
# Energy above the lowest structure with this stoichiometry = 531.4 meV per atom
# Magnetic moment = 0.198 μB/f.u.
# E = -1.142 eV/atom
# D(E_F) = 3.49 states/eV/cell
# Space group = No. 141

---

Entry 5:
# Br | Alexandria via LeMat-Bulk | GGA-PBE | relaxed
data_Br
_space_group_name_H-M_alt 'P 1'
_space_group_IT_number 1
_cell_length_a 3.857
_cell_length_b 3.857
_cell_length_c 2.577
_cell_angle_alpha 90.00
_cell_angle_beta 90.00
_cell_angle_gamma 94.36
loop_
_space_group_symop_operation_xyz
'x,y,z'
loop_
_atom_site_label
_atom_site_fract_x
_atom_site_fract_y
_atom_site_fract_z
_atom_site_occupancy
Br1 0.000 0.000 0.000 1
# Uncorrected formation energy = 0.1136 eV/atom
# Energy above the lowest structure with this stoichiometry = 113.6 meV per atom
# Magnetic moment = 0.000 μB/f.u.
# E = -1.559 eV/atom
# D(E_F) = 0.88 states/eV/cell
# Space group = No. 65

---

Entry 6:
# Br | Alexandria via LeMat-Bulk | GGA-PBE | relaxed
data_Br
_space_group_name_H-M_alt 'P 1'
_space_group_IT_number 1
_cell_length_a 3.335
_cell_length_b 3.335
_cell_length_c 3.335
_cell_angle_alpha 60.00
_cell_angle_beta 60.00
_cell_angle_gamma 60.00
loop_
_space_group_symop_operation_xyz
'x,y,z'
loop_
_atom_site_label
_atom_site_fract_x
_atom_site_fract_y
_atom_site_fract_z
_atom_site_occupancy
Br1 0.000 0.000 0.000 1
# Uncorrected formation energy = 0.7002 eV/atom
# Energy above the lowest structure with this stoichiometry = 700.2 meV per atom
# Magnetic moment = 0.000 μB/f.u.
# E = -0.973 eV/atom
# D(E_F) = 1.77 states/eV/cell
# Space group = No. 225

---

Entry 7:
# Br | Alexandria via LeMat-Bulk | GGA-PBE | relaxed
data_Br
_space_group_name_H-M_alt 'P 1'
_space_group_IT_number 1
_cell_length_a 4.677
_cell_length_b 4.677
_cell_length_c 4.677
_cell_angle_alpha 144.30
_cell_angle_beta 144.30
_cell_angle_gamma 51.37
loop_
_space_group_symop_operation_xyz
'x,y,z'
loop_
_atom_site_label
_atom_site_fract_x
_atom_site_fract_y
_atom_site_fract_z
_atom_site_occupancy
Br1 0.000 0.000 0.000 1
# Uncorrected formation energy = 0.2137 eV/atom
# Energy above the lowest structure with this stoichiometry = 213.7 meV per atom
# Magnetic moment = 0.000 μB/f.u.
# E = -1.459 eV/atom
# D(E_F) = 0.39 states/eV/cell
# Space group = No. 139

---

Entry 8:
# Br | Alexandria via LeMat-Bulk | GGA-PBE | relaxed
data_Br
_space_group_name_H-M_alt 'P 1'
_space_group_IT_number 1
_cell_length_a 5.082
_cell_length_b 5.082
_cell_length_c 5.082
_cell_angle_alpha 60.00
_cell_angle_beta 60.00
_cell_angle_gamma 60.00
loop_
_space_group_symop_operation_xyz
'x,y,z'
loop_
_atom_site_label
_atom_site_fract_x
_atom_site_fract_y
_atom_site_fract_z
_atom_site_occupancy
Br1 0.125 0.125 0.125 1
Br2 0.875 0.875 0.875 1
# Uncorrected formation energy = 0.6436 eV/atom
# Energy above the lowest structure with this stoichiometry = 643.6 meV per atom
# Magnetic moment = 0.994 μB/f.u.
# E = -1.029 eV/atom
# D(E_F) = 2.68 states/eV/cell
# Space group = No. 227

---

Entry 9:
# Br | Alexandria via LeMat-Bulk | GGA-PBE | relaxed
data_Br
_space_group_name_H-M_alt 'P 1'
_space_group_IT_number 1
_cell_length_a 5.108
_cell_length_b 6.155
_cell_length_c 6.398
_cell_angle_alpha 81.50
_cell_angle_beta 70.45
_cell_angle_gamma 69.56
loop_
_space_group_symop_operation_xyz
'x,y,z'
loop_
_atom_site_label
_atom_site_fract_x
_atom_site_fract_y
_atom_site_fract_z
_atom_site_occupancy
Br1 0.000 0.000 0.000 1
Br2 0.000 0.500 0.500 1
Br3 0.298 0.254 0.754 1
Br4 0.702 0.746 0.246 1
# Uncorrected formation energy = 0.0056 eV/atom
# Energy above the lowest structure with this stoichiometry = 5.6 meV per atom
# Magnetic moment = 0.000 μB/f.u.
# E = -1.667 eV/atom
# Space group = No. 2

---

Entry 10:
# Br | Alexandria via LeMat-Bulk | GGA-PBE | relaxed
data_Br
_space_group_name_H-M_alt 'P 1'
_space_group_IT_number 1
_cell_length_a 4.911
_cell_length_b 4.914
_cell_length_c 11.610
_cell_angle_alpha 82.50
_cell_angle_beta 82.70
_cell_angle_gamma 79.34
loop_
_space_group_symop_operation_xyz
'x,y,z'
loop_
_atom_site_label
_atom_site_fract_x
_atom_site_fract_y
_atom_site_fract_z
_atom_site_occupancy
Br1 0.000 0.000 0.000 1
Br2 0.025 0.541 0.486 1
Br3 0.176 0.174 0.653 1
Br4 0.341 0.832 0.827 1
Br5 0.634 0.153 0.166 1
Br6 0.851 0.325 0.326 1
# Uncorrected formation energy = 0.0017 eV/atom
# Energy above the lowest structure with this stoichiometry = 1.7 meV per atom
# Magnetic moment = 0.000 μB/f.u.
# E = -1.671 eV/atom
# D(E_F) = 0.00 states/eV/cell
# Space group = No. 1

---

Entry 11:
# Br | Alexandria via LeMat-Bulk | GGA-PBE | relaxed
data_Br
_space_group_name_H-M_alt 'P 1'
_space_group_IT_number 1
_cell_length_a 4.617
_cell_length_b 6.065
_cell_length_c 6.315
_cell_angle_alpha 83.90
_cell_angle_beta 82.04
_cell_angle_gamma 70.88
loop_
_space_group_symop_operation_xyz
'x,y,z'
loop_
_atom_site_label
_atom_site_fract_x
_atom_site_fract_y
_atom_site_fract_z
_atom_site_occupancy
Br1 0.086 0.414 0.171 1
Br2 0.329 0.171 0.586 1
Br3 0.671 0.829 0.414 1
Br4 0.914 0.586 0.829 1
# Uncorrected formation energy = 0.0206 eV/atom
# Energy above the lowest structure with this stoichiometry = 20.6 meV per atom
# Magnetic moment = 0.000 μB/f.u.
# E = -1.652 eV/atom
# D(E_F) = 0.00 states/eV/cell
# Space group = No. 2

---

Entry 12:
# Br | Alexandria via LeMat-Bulk | GGA-PBE | relaxed
data_Br
_space_group_name_H-M_alt 'P 1'
_space_group_IT_number 1
_cell_length_a 4.683
_cell_length_b 4.683
_cell_length_c 15.194
_cell_angle_alpha 90.00
_cell_angle_beta 90.00
_cell_angle_gamma 134.04
loop_
_space_group_symop_operation_xyz
'x,y,z'
loop_
_atom_site_label
_atom_site_fract_x
_atom_site_fract_y
_atom_site_fract_z
_atom_site_occupancy
Br1 0.026 0.974 0.750 1
Br2 0.028 0.972 0.083 1
Br3 0.028 0.972 0.417 1
Br4 0.972 0.028 0.583 1
Br5 0.972 0.028 0.917 1
Br6 0.974 0.026 0.250 1
# Uncorrected formation energy = 0.0733 eV/atom
# Energy above the lowest structure with this stoichiometry = 73.3 meV per atom
# Magnetic moment = 0.000 μB/f.u.
# E = -1.600 eV/atom
# D(E_F) = 1.47 states/eV/cell
# Space group = No. 63

---

Entry 13:
# Br | Alexandria via LeMat-Bulk | GGA-PBE | relaxed
data_Br
_space_group_name_H-M_alt 'P 1'
_space_group_IT_number 1
_cell_length_a 7.253
_cell_length_b 7.253
_cell_length_c 7.253
_cell_angle_alpha 109.47
_cell_angle_beta 109.47
_cell_angle_gamma 109.47
loop_
_space_group_symop_operation_xyz
'x,y,z'
loop_
_atom_site_label
_atom_site_fract_x
_atom_site_fract_y
_atom_site_fract_z
_atom_site_occupancy
Br1 0.250 0.500 0.750 1
Br2 0.250 0.750 0.500 1
Br3 0.500 0.250 0.750 1
Br4 0.500 0.750 0.250 1
Br5 0.750 0.250 0.500 1
Br6 0.750 0.500 0.250 1
# Uncorrected formation energy = 0.5546 eV/atom
# Energy above the lowest structure with this stoichiometry = 554.6 meV per atom
# Magnetic moment = 0.000 μB/f.u.
# E = -1.118 eV/atom
# D(E_F) = 6.85 states/eV/cell
# Space group = No. 229